{"formula": "LiAgTePdS2", "functional": "GGA-PBE", "state": "relaxed", "cell": [[1.739, -6.948, 0.000], [1.739, 6.948, 0.000], [0.000, 0.000, 10.607]], "species": ["S", "S", "S", "S", "Te", "Te", "Ag", "Ag", "Li", "Li", "Pd", "Pd"], "frac_coords": [[0.880, 0.120, 0.977], [0.120, 0.880, 0.477], [0.880, 0.120, 0.523], [0.120, 0.880, 0.023], [0.431, 0.569, 0.250], [0.569, 0.431, 0.750], [0.880, 0.120, 0.750], [0.120, 0.880, 0.250], [0.227, 0.773, 0.750], [0.773, 0.227, 0.250], [0.500, 0.500, 0.000], [0.500, 0.500, 0.500]], "spacegroup": "No. 63", "e_tot_ry_per_atom": -0.2801}